Entry 1:
Computed, not measured: an optimized crystal structure of LiTaCoBi at the PBE-GGA level of DFT.

Output
magnetization = 0.31 μB/cell
distance to the lowest polymorph of the same formula = 0.00 eV per formula unit
space-group type = F-43m (216)

Unit cell a=4.498 b=4.498 c=4.498 alpha=60.00 beta=60.00 gamma=60.00
Each line ends with the local moment (μB).
Atoms (fractional coordinates):
Bi 0.000 0.000 0.000  0.01
Li 0.250 0.250 0.250  0.01
Co 0.750 0.750 0.750  0.20
Ta 0.500 0.500 0.500  0.07


Entry 2:
Computed, not measured: an optimized crystal structure of LiTaCoBi at the PBE-GGA level of DFT.

Output
magnetization = 2.06 μB/cell
distance to the lowest polymorph of the same formula = 1.09 eV per formula unit
space-group type = F-43m (216)

Unit cell a=4.588 b=4.588 c=4.588 alpha=60.00 beta=60.00 gamma=60.00
Each line ends with the local moment (μB).
Atoms (fractional coordinates):
Li 0.500 0.500 0.500  0.02
Co 0.750 0.750 0.750  0.80
Bi 0.000 0.000 0.000  0.02
Ta 0.250 0.250 0.250  0.91


Entry 3:
Computed, not measured: an optimized crystal structure of LiCoTcBi at the PBE-GGA level of DFT.

Output
magnetization = 3.98 μB/cell
distance to the lowest polymorph of the same formula = 0.00 eV per formula unit
space-group type = F-43m (216)

Unit cell a=4.456 b=4.456 c=4.456 alpha=60.00 beta=60.00 gamma=60.00
Each line ends with the local moment (μB).
Atoms (fractional coordinates):
Bi 0.000 0.000 0.000  0.00
Li 0.250 0.250 0.250  0.04
Tc 0.500 0.500 0.500  2.21
Co 0.750 0.750 0.750  1.47


Entry 4:
Computed, not measured: an optimized crystal structure of LiYCoBi at the PBE-GGA level of DFT.

Output
magnetization = 0.00 μB/cell
distance to the lowest polymorph of the same formula = 0.00 eV per formula unit
space-group type = F-43m (216)

Unit cell a=4.673 b=4.673 c=4.673 alpha=60.00 beta=60.00 gamma=60.00
Atoms (fractional coordinates):
Li 0.250 0.250 0.250
Co 0.750 0.750 0.750
Y 0.500 0.500 0.500
Bi 0.000 0.000 0.000